Record 1
First-principles (PBEsol) data for crystalline Cr2AsOs at its relaxed geometry, as listed in Alexandria.

Calculated values
M_tot (μB per formula unit): 0.0
Energy of formation from the pure elements (eV/atom): 0.08

a = 2.7926 Å, b = 2.7926 Å, c = 6.4505 Å
α = 90.00°, β = 90.00°, γ = 90.00°
Last column: nearest neighbours and their distance in Å.
Fractional positions:
1 As 0.5000 0.5000 0.5000  8 Cr 2.50, 4 As 2.79
2 Cr 0.0000 0.0000 0.7373  4 As 2.50, 4 Os 2.60, 4 Cr 2.79
3 Cr 0.0000 0.0000 0.2627  4 As 2.50, 4 Os 2.60, 4 Cr 2.79
4 Os 0.5000 0.5000 0.0000  8 Cr 2.60, 4 Os 2.79



Record 2
First-principles (PBEsol) data for crystalline CrAs2Os at its relaxed geometry, as listed in Alexandria.

Calculated values
M_tot (μB per formula unit): 2.7
Energy of formation from the pure elements (eV/atom): 0.57

a = 5.2990 Å, b = 5.2990 Å, c = 6.9393 Å
α = 112.45°, β = 112.45°, γ = 90.00°
Last column: nearest neighbours and their distance in Å.
Fractional positions:
1 Os 0.0000 0.0000 0.0000  4 As 2.35
2 Os 0.2500 0.7500 0.5000  4 As 2.35
3 Cr 0.7500 0.2500 0.5000  4 As 2.40
4 Cr 0.5000 0.5000 0.0000  4 As 2.40
5 As 0.6250 0.6326 0.7500  2 Os 2.35, 2 Cr 2.40
6 As 0.3674 0.8750 0.2500  2 Os 2.35, 2 Cr 2.40
7 As 0.1250 0.1174 0.7500  2 Os 2.35, 2 Cr 2.40
8 As 0.8826 0.3750 0.2500  2 Os 2.35, 2 Cr 2.40



Record 3
First-principles (PBEsol) data for crystalline Cr2AsOs at its relaxed geometry, as listed in Alexandria.

Calculated values
M_tot (μB per formula unit): 0.0
Energy of formation from the pure elements (eV/atom): 0.22

a = 3.5675 Å, b = 3.5675 Å, c = 4.7099 Å
α = 112.25°, β = 112.25°, γ = 90.00°
Last column: nearest neighbours and their distance in Å.
Fractional positions:
1 Cr 0.2500 0.7500 0.5000  4 Cr 2.52, 4 As 2.67, 4 Os 2.67
2 Cr 0.7500 0.2500 0.5000  4 Cr 2.52, 4 Os 2.67, 4 As 2.67
3 Os 0.5000 0.5000 0.0000  4 As 2.52, 8 Cr 2.67
4 As 0.0000 0.0000 0.0000  4 Os 2.52, 8 Cr 2.67



Record 4
First-principles (PBEsol) data for crystalline CrAs3Os at its relaxed geometry, as listed in Alexandria.

Calculated values
M_tot (μB per formula unit): 1.7
Energy of formation from the pure elements (eV/atom): 1.17

a = 4.4832 Å, b = 4.4832 Å, c = 4.4832 Å
α = 90.00°, β = 90.00°, γ = 90.00°
Last column: nearest neighbours and their distance in Å.
Fractional positions:
1 Os 0.5000 0.5000 0.5000  12 As 3.17
2 As 0.0000 0.5000 0.0000  2 Cr 2.24
3 As 0.5000 0.0000 0.0000  2 Cr 2.24
4 As 0.0000 0.0000 0.5000  2 Cr 2.24
5 Cr 0.0000 0.0000 0.0000  6 As 2.24